No. 1
Computed, not measured: ThBIr after structural relaxation at the GGA-PBE level of DFT.

Lattice parameters (Å, degrees): 4.4629 4.4629 4.4629 60.00 60.00 60.00
Last column: nearest neighbours and their distance in Å.
Atoms (fractional coordinates):
B 0.7500 0.7500 0.7500  4 Ir 2.73
Ir 0.0000 0.0000 0.0000  4 B 2.73, 4 Th 2.73
Th 0.2500 0.2500 0.2500  4 Ir 2.73

Computed properties:
* volume: 63 Å³ per cell
* space group: F-43m
* energy above the most stable polymorph in this dataset: 0.317 eV per atom
* M_tot: 0.00 μB/f.u.

***

No. 2
Computed, not measured: ThBIr after structural relaxation at the GGA-PBE level of DFT.

Lattice parameters (Å, degrees): 4.2899 4.2899 4.2899 60.00 60.00 60.00
Last column: nearest neighbours and their distance in Å.
Atoms (fractional coordinates):
B 0.0000 0.0000 0.0000  4 Th 2.63, 4 Ir 2.63
Ir 0.2500 0.2500 0.2500  4 B 2.63
Th 0.7500 0.7500 0.7500  4 B 2.63

Computed properties:
* volume: 56 Å³ per cell
* space group: F-43m
* energy above the most stable polymorph in this dataset: 0.000 eV per atom
* M_tot: 0.00 μB/f.u.

***

No. 3
Computed, not measured: TlB4Ir after structural relaxation at the GGA-PBE level of DFT.

Lattice parameters (Å, degrees): 5.2685 5.2685 5.2685 149.65 114.85 73.55
Last column: nearest neighbours and their distance in Å.
Atoms (fractional coordinates):
B 0.6296 0.2805 0.3490  3 B 1.71-1.85
B 0.0685 0.7195 0.3490  3 B 1.71-1.85
B 0.9315 0.2805 0.6510  3 B 1.71-1.85
B 0.3704 0.7195 0.6510  3 B 1.71-1.85
Ir 0.0000 0.0000 0.0000  8 B 2.46, 2 Ir 2.76
Tl 0.5000 0.5000 0.0000  12 B 2.71-2.87, 2 Tl 2.76

Computed properties:
* volume: 66 Å³ per cell
* space group: Immm
* energy above the most stable polymorph in this dataset: 0.255 eV per atom
* M_tot: 0.00 μB/f.u.

***

No. 4
Computed, not measured: TlB4Ir after structural relaxation at the GGA-PBE level of DFT.

Lattice parameters (Å, degrees): 3.0677 3.0677 8.7897 90.00 90.00 120.00
Last column: nearest neighbours and their distance in Å.
Atoms (fractional coordinates):
B 0.6667 0.3333 0.1840  3 B 1.77
B 0.3333 0.6667 0.1840  3 B 1.77
B 0.6667 0.3333 0.8160  3 B 1.77
B 0.3333 0.6667 0.8160  3 B 1.77
Ir 0.0000 0.0000 0.0000  12 B 2.40
Tl 0.0000 0.0000 0.5000  6 Tl 3.07, 12 B 3.29

Computed properties:
* volume: 72 Å³ per cell
* space group: P6/mmm
* energy above the most stable polymorph in this dataset: 0.000 eV per atom
* M_tot: 0.05 μB/f.u.

***

No. 5
Computed, not measured: TlBIr after structural relaxation at the GGA-PBE level of DFT.

Lattice parameters (Å, degrees): 4.0302 4.0302 4.0302 60.00 60.00 60.00
Last column: nearest neighbours and their distance in Å.
Atoms (fractional coordinates):
B 0.0000 0.0000 0.0000  4 Ir 2.47, 4 Tl 2.47
Ir 0.2500 0.2500 0.2500  4 B 2.47
Tl 0.7500 0.7500 0.7500  4 B 2.47

Computed properties:
* volume: 46 Å³ per cell
* space group: F-43m
* energy above the most stable polymorph in this dataset: 0.000 eV per atom
* M_tot: 0.00 μB/f.u.

***

No. 6
Computed, not measured: TmB4Ir after structural relaxation at the GGA-PBE level of DFT.

Lattice parameters (Å, degrees): 3.2304 3.2304 6.6260 90.00 90.00 120.00
Last column: nearest neighbours and their distance in Å.
Atoms (fractional coordinates):
B 0.6667 0.3333 0.2233  3 B 1.87
B 0.3333 0.6667 0.2233  3 B 1.87
B 0.6667 0.3333 0.7767  3 B 1.87
B 0.3333 0.6667 0.7767  3 B 1.87
Ir 0.0000 0.0000 0.0000  12 B 2.38
Tm 0.0000 0.0000 0.5000  12 B 2.62

Computed properties:
* volume: 60 Å³ per cell
* space group: P6/mmm
* energy above the most stable polymorph in this dataset: 0.000 eV per atom
* M_tot: 0.00 μB/f.u.